1.
The following is a PBE calculation of a relaxed structure of BaHo3Co, from Alexandria via LeMat-Bulk.

Values from the calculation:
Its formation energy is 0.00 eV per atom. The space-group type is No. 221.

abc: 5.4114 5.4114 5.4114
angles: 90.00 90.00 90.00
Closest atoms and distances in Å follow each position.
Positions (direct):
1 Ba 0.0000 0.0000 0.0000  12 Ho 3.83
2 Ho 0.0000 0.5000 0.5000  2 Co 2.71
3 Ho 0.5000 0.0000 0.5000  2 Co 2.71
4 Ho 0.5000 0.5000 0.0000  2 Co 2.71
5 Co 0.5000 0.5000 0.5000  6 Ho 2.71

***

2.
The following is a PBE calculation of a relaxed structure of InMo2Pt, from Alexandria via LeMat-Bulk.

Values from the calculation:
Its formation energy is 0.06 eV per atom. The space-group type is No. 12.

abc: 9.8426 3.0749 4.5829
angles: 90.00 102.67 90.00
Closest atoms and distances in Å follow each position.
Positions (direct):
1 In 0.0000 0.0000 0.0000  4 Pt 2.76, 6 Mo 2.93-2.97, 2 In 3.07
2 In 0.5000 0.5000 0.0000  4 Pt 2.76, 6 Mo 2.93-2.97, 2 In 3.07
3 Mo 0.2445 0.0000 0.7340  4 Mo 2.66-2.86, 3 Pt 2.86-2.94, 3 In 2.93-2.97
4 Mo 0.2555 0.5000 0.2660  4 Mo 2.66-2.86, 3 Pt 2.86-2.94, 3 In 2.93-2.97
5 Mo 0.7445 0.5000 0.7340  4 Mo 2.66-2.86, 3 Pt 2.86-2.94, 3 In 2.93-2.97
6 Mo 0.7555 0.0000 0.2660  4 Mo 2.66-2.86, 3 Pt 2.86-2.94, 3 In 2.93-2.97
7 Pt 0.0000 0.5000 0.5000  4 In 2.76, 6 Mo 2.86-2.94, 2 Pt 3.07
8 Pt 0.5000 0.0000 0.5000  4 In 2.76, 6 Mo 2.86-2.94, 2 Pt 3.07

***

3.
The following is a PBE calculation of a relaxed structure of ErGeSe, from Alexandria via LeMat-Bulk.

Values from the calculation:
The calculation puts the uncorrected formation energy at -3.5 eV/f.u. The space-group type is No. 139.

abc: 3.8482 3.8482 18.0457
angles: 90.00 90.00 90.00
Closest atoms and distances in Å follow each position.
Positions (direct):
1 Er 0.0000 0.0000 0.1424  5 Se 2.85-3.04
2 Er 0.0000 0.0000 0.8576  5 Se 2.85-3.04
3 Er 0.5000 0.5000 0.3576  5 Se 2.85-3.04
4 Er 0.5000 0.5000 0.6424  5 Se 2.85-3.04
5 Ge 0.0000 0.5000 0.0000  4 Ge 2.72
6 Ge 0.0000 0.5000 0.5000  4 Ge 2.72
7 Ge 0.5000 0.0000 0.0000  4 Ge 2.72
8 Ge 0.5000 0.0000 0.5000  4 Ge 2.72
9 Se 0.0000 0.0000 0.3106  5 Er 2.85-3.04
10 Se 0.0000 0.0000 0.6894  5 Er 2.85-3.04
11 Se 0.5000 0.5000 0.1894  5 Er 2.85-3.04
12 Se 0.5000 0.5000 0.8106  5 Er 2.85-3.04

***

4.
The following is a PBE calculation of a relaxed structure of NpMn5, from Alexandria via LeMat-Bulk.

Values from the calculation:
Its formation energy is 0.13 eV per atom. The space-group type is No. 65.

abc: 3.7862 10.6806 3.7168
angles: 90.00 90.00 90.00
Closest atoms and distances in Å follow each position.
Positions (direct):
1 Np 0.0000 0.0000 0.0000  12 Mn 2.65-2.75
2 Np 0.5000 0.5000 0.0000  12 Mn 2.65-2.75
3 Mn 0.0000 0.1811 0.5000  4 Mn 2.34-2.40
4 Mn 0.0000 0.3137 0.0000  4 Mn 2.33-2.34
5 Mn 0.0000 0.5000 0.5000  4 Np 2.65, 8 Mn 2.71-2.72
6 Mn 0.0000 0.6863 0.0000  4 Mn 2.33-2.34
7 Mn 0.0000 0.8189 0.5000  4 Mn 2.34-2.40
8 Mn 0.5000 0.0000 0.5000  4 Np 2.65, 8 Mn 2.71-2.72
9 Mn 0.5000 0.1863 0.0000  4 Mn 2.33-2.34
10 Mn 0.5000 0.3189 0.5000  4 Mn 2.34-2.40
11 Mn 0.5000 0.6811 0.5000  4 Mn 2.34-2.40
12 Mn 0.5000 0.8137 0.0000  4 Mn 2.33-2.34

***

5.
The following is a PBE calculation of a relaxed structure of SnHgI2F, from Alexandria via LeMat-Bulk.

Values from the calculation:
The calculation puts the uncorrected formation energy at -3.7 eV/f.u. The space-group type is No. 123.

abc: 6.1510 6.1510 4.4532
angles: 90.00 90.00 90.00
Closest atoms and distances in Å follow each position.
Positions (direct):
1 Sn 0.0000 0.0000 0.0000  2 F 2.23
2 Hg 0.5000 0.5000 0.5000  8 I 3.80
3 I 0.0000 0.5000 0.0000  2 Sn 3.08
4 I 0.5000 0.0000 0.0000  2 Sn 3.08
5 F 0.0000 0.0000 0.5000  2 Sn 2.23

***

6.
The following is a PBE calculation of a relaxed structure of BeCuCl2, from Alexandria via LeMat-Bulk.

Values from the calculation:
The calculation puts the uncorrected formation energy at 0.5 eV/f.u. Its energy relative to the lowest polymorph listed for this composition is 589 meV/atom. The space-group type is No. 119.

abc: 3.3852 3.3852 13.7479
angles: 90.00 90.00 90.00
Closest atoms and distances in Å follow each position.
Positions (direct):
1 Be 0.0000 0.0000 0.0000  4 Cl 2.39
2 Be 0.5000 0.5000 0.5000  4 Cl 2.39
3 Cu 0.0000 0.5000 0.2500  4 Cl 2.39
4 Cu 0.5000 0.0000 0.7500  4 Cl 2.39
5 Cl 0.0000 0.0000 0.5000  4 Be 2.39
6 Cl 0.0000 0.5000 0.7500  4 Cu 2.39
7 Cl 0.5000 0.0000 0.2500  4 Cu 2.39
8 Cl 0.5000 0.5000 0.0000  4 Be 2.39

***

7.
The following is a PBE calculation of a relaxed structure of Mg3Cd8In3, from Alexandria via LeMat-Bulk.

Values from the calculation:
Its formation energy is 0.00 eV per atom. The space-group type is No. 71.

abc: 8.7956 8.7956 8.7956
angles: 147.04 112.65 77.04
Closest atoms and distances in Å follow each position.
Positions (direct):
1 Mg 0.0000 0.0000 0.0000  2 Mg 3.06, 12 Cd 3.30-3.33
2 Mg 0.3137 0.0000 0.3137  1 Mg 3.06, 4 In 3.09-3.14, 6 Cd 3.20-3.33
3 Mg 0.6863 0.0000 0.6863  1 Mg 3.06, 4 In 3.09-3.14, 6 Cd 3.20-3.33
4 Cd 0.0590 0.2150 0.8440  6 Cd 2.94-3.24, 2 In 3.23
5 Cd 0.0659 0.3975 0.6684  4 Cd 2.82-3.04
6 Cd 0.2708 0.6025 0.6684  4 Cd 2.82-3.04
7 Cd 0.3709 0.2150 0.1560  6 Cd 2.94-3.24, 2 In 3.23
8 Cd 0.6291 0.7850 0.8440  6 Cd 2.94-3.24, 2 In 3.23
9 Cd 0.7292 0.3975 0.3316  4 Cd 2.82-3.04
10 Cd 0.9341 0.6025 0.3316  4 Cd 2.82-3.04
11 Cd 0.9410 0.7850 0.1560  6 Cd 2.94-3.24, 2 In 3.23
12 In 0.3143 0.8143 0.5000  2 Mg 3.14, 8 Cd 3.23-3.38
13 In 0.5000 0.5000 0.0000  4 Mg 3.09
14 In 0.6857 0.1857 0.5000  2 Mg 3.14, 8 Cd 3.23-3.38

***

8.
The following is a PBE calculation of a relaxed structure of CaDyCuPd, from Alexandria via LeMat-Bulk.

Values from the calculation:
Its formation energy is -0.50 eV per atom. Its energy relative to the lowest polymorph listed for this composition is 0 meV/atom. The space-group type is No. 38.

abc: 4.3455 3.8738 10.8862
angles: 90.00 90.00 90.00
Closest atoms and distances in Å follow each position.
Positions (direct):
1 Ca 0.0000 0.0000 0.0000  4 Cu 3.02, 3 Pd 3.04-3.09
2 Ca 0.0000 0.5000 0.5000  4 Cu 3.02, 3 Pd 3.04-3.09
3 Dy 0.5000 0.0000 0.7215  3 Cu 2.96-3.20, 4 Pd 2.98
4 Dy 0.5000 0.5000 0.2215  3 Cu 2.96-3.20, 4 Pd 2.98
5 Cu 0.5000 0.0000 0.4272  2 Pd 2.71, 2 Dy 2.96, 4 Ca 3.02
6 Cu 0.5000 0.5000 0.9272  2 Pd 2.71, 2 Dy 2.96, 4 Ca 3.02
7 Pd 0.0000 0.0000 0.2791  2 Cu 2.71, 4 Dy 2.98
8 Pd 0.0000 0.5000 0.7791  2 Cu 2.71, 4 Dy 2.98

***

9.
The following is a PBE calculation of a relaxed structure of PmSeClO4, from Alexandria via LeMat-Bulk.

Values from the calculation:
The calculation puts the uncorrected formation energy at -11.9 eV/f.u. The space-group type is No. 12.

abc: 6.2712 6.2712 6.8135
angles: 101.64 101.64 71.54
Closest atoms and distances in Å follow each position.
Positions (direct):
1 Pm 0.2233 0.2233 0.1294  6 O 2.40-2.58
2 Pm 0.7767 0.7767 0.8706  6 O 2.40-2.58
3 Se 0.3627 0.3627 0.7318  4 O 1.64-1.70
4 Se 0.6373 0.6373 0.2682  4 O 1.64-1.70
5 Cl 0.0207 0.0207 0.7671  2 Pm 2.74-2.80
6 Cl 0.9793 0.9793 0.2329  2 Pm 2.74-2.80
7 O 0.1375 0.4877 0.8598  1 Se 1.70
8 O 0.2769 0.2769 0.4930  1 Se 1.64
9 O 0.4724 0.4724 0.2424  1 Se 1.64
10 O 0.4877 0.1375 0.8598  1 Se 1.70
11 O 0.5123 0.8625 0.1402  1 Se 1.70
12 O 0.5276 0.5276 0.7576  1 Se 1.64
13 O 0.7231 0.7231 0.5070  1 Se 1.64
14 O 0.8625 0.5123 0.1402  1 Se 1.70

***

10.
The following is a PBE calculation of a relaxed structure of RePtN2, from Alexandria via LeMat-Bulk.

Values from the calculation:
The calculation puts the uncorrected formation energy at 0.6 eV/f.u. Its energy relative to the lowest polymorph listed for this composition is 0 meV/atom. The space-group type is No. 166.

abc: 2.8415 2.8415 19.7196
angles: 90.00 90.00 120.00
Closest atoms and distances in Å follow each position.
Positions (direct):
1 Re 0.0000 0.0000 0.0000  6 N 2.08
2 Re 0.3333 0.6667 0.6667  6 N 2.08
3 Re 0.6667 0.3333 0.3333  6 N 2.08
4 Pt 0.0000 0.0000 0.5000  2 N 2.01
5 Pt 0.3333 0.6667 0.1667  2 N 2.01
6 Pt 0.6667 0.3333 0.8333  2 N 2.01
7 N 0.0000 0.0000 0.3982  1 Pt 2.01, 3 Re 2.08
8 N 0.0000 0.0000 0.6018  1 Pt 2.01, 3 Re 2.08
9 N 0.3333 0.6667 0.0649  1 Pt 2.01, 3 Re 2.08
10 N 0.3333 0.6667 0.2684  1 Pt 2.01, 3 Re 2.08
11 N 0.6667 0.3333 0.7316  1 Pt 2.01, 3 Re 2.08
12 N 0.6667 0.3333 0.9351  1 Pt 2.01, 3 Re 2.08

***

11.
The following is a PBE calculation of a relaxed structure of KInSn2Mo, from Alexandria via LeMat-Bulk.

Values from the calculation:
Its formation energy is 0.02 eV per atom. The space-group type is No. 123.

abc: 5.2926 5.2926 5.4081
angles: 90.00 90.00 90.00
Closest atoms and distances in Å follow each position.
Positions (direct):
1 K 0.0000 0.0000 0.0000  4 In 3.74, 8 Sn 3.78
2 In 0.5000 0.5000 0.0000  2 Mo 2.70
3 Sn 0.0000 0.5000 0.5000  2 Mo 2.65
4 Sn 0.5000 0.0000 0.5000  2 Mo 2.65
5 Mo 0.5000 0.5000 0.5000  4 Sn 2.65, 2 In 2.70

***

12.
The following is a PBE calculation of a relaxed structure of HfI3Br, from Alexandria via LeMat-Bulk.

Values from the calculation:
The calculation puts the uncorrected formation energy at 5.1 eV/f.u. Its energy relative to the lowest polymorph listed for this composition is 1978 meV/atom. The space-group type is No. 221.

abc: 5.8974 5.8974 5.8974
angles: 90.00 90.00 90.00
Closest atoms and distances in Å follow each position.
Positions (direct):
1 Hf 0.0000 0.0000 0.0000  12 I 4.17
2 I 0.0000 0.5000 0.5000  2 Br 2.95
3 I 0.5000 0.0000 0.5000  2 Br 2.95
4 I 0.5000 0.5000 0.0000  2 Br 2.95
5 Br 0.5000 0.5000 0.5000  6 I 2.95

***

13.
The following is a PBE calculation of a relaxed structure of LaErRu, from Alexandria via LeMat-Bulk.

Values from the calculation:
Its formation energy is -0.27 eV per atom. Its energy relative to the lowest polymorph listed for this composition is 0 meV/atom. The space-group type is No. 14.

abc: 6.6185 6.9142 9.9077
angles: 90.00 129.65 90.00
Closest atoms and distances in Å follow each position.
Positions (direct):
1 La 0.1578 0.0722 0.3904  3 Ru 2.74-2.98
2 La 0.1578 0.4278 0.8904  3 Ru 2.74-2.98
3 La 0.8422 0.5722 0.1096  3 Ru 2.74-2.98
4 La 0.8422 0.9278 0.6096  3 Ru 2.74-2.98
5 Er 0.3681 0.5706 0.6082  3 Ru 2.75-2.81
6 Er 0.3681 0.9294 0.1082  3 Ru 2.75-2.81
7 Er 0.6319 0.0706 0.8918  3 Ru 2.75-2.81
8 Er 0.6319 0.4294 0.3918  3 Ru 2.75-2.81
9 Ru 0.3256 0.7434 0.3345  3 La 2.74-2.98, 3 Er 2.75-2.81
10 Ru 0.3256 0.7566 0.8345  3 La 2.74-2.98, 3 Er 2.75-2.81
11 Ru 0.6744 0.2434 0.1655  3 La 2.74-2.98, 3 Er 2.75-2.81
12 Ru 0.6744 0.2566 0.6655  3 La 2.74-2.98, 3 Er 2.75-2.81

***

14.
The following is a PBE calculation of a relaxed structure of As2WCl, from Alexandria via LeMat-Bulk.

Values from the calculation:
The calculation puts the uncorrected formation energy at 3.3 eV/f.u. Its energy relative to the lowest polymorph listed for this composition is 856 meV/atom. The space-group type is No. 10.

abc: 4.6247 2.8969 5.6823
angles: 90.00 111.68 90.00
Closest atoms and distances in Å follow each position.
Positions (direct):
1 As 0.0000 0.0000 0.0000  6 As 2.73-2.90, 2 W 2.84
2 As 0.5000 0.5000 0.0000  6 As 2.73-2.90, 2 Cl 2.84
3 W 0.0000 0.0000 0.5000  4 Cl 2.73, 2 As 2.84, 2 W 2.90
4 Cl 0.5000 0.5000 0.5000  4 W 2.73, 2 As 2.84, 2 Cl 2.90

***

15.
The following is a PBE calculation of a relaxed structure of Zr2Cu2Os, from Alexandria via LeMat-Bulk.

Values from the calculation:
Its formation energy is -0.11 eV per atom. Its energy relative to the lowest polymorph listed for this composition is 0 meV/atom. The space-group type is No. 127.

abc: 6.9055 6.9055 3.4672
angles: 90.00 90.00 90.00
Closest atoms and distances in Å follow each position.
Positions (direct):
1 Zr 0.1855 0.3145 0.0000  6 Cu 2.57-2.77
2 Zr 0.3145 0.8145 0.0000  6 Cu 2.57-2.77
3 Zr 0.6855 0.1855 0.0000  6 Cu 2.57-2.77
4 Zr 0.8145 0.6855 0.0000  6 Cu 2.57-2.77
5 Cu 0.1201 0.6201 0.5000  1 Cu 2.35, 2 Zr 2.57
6 Cu 0.3799 0.1201 0.5000  1 Cu 2.35, 2 Zr 2.57
7 Cu 0.6201 0.8799 0.5000  1 Cu 2.35, 2 Zr 2.57
8 Cu 0.8799 0.3799 0.5000  1 Cu 2.35, 2 Zr 2.57
9 Os 0.0000 0.0000 0.5000  4 Cu 2.75, 8 Zr 3.06
10 Os 0.5000 0.5000 0.5000  4 Cu 2.75, 8 Zr 3.06

***

16.
The following is a PBE calculation of a relaxed structure of ScZn2Fe, from Alexandria via LeMat-Bulk.

Values from the calculation:
Its formation energy is -0.14 eV per atom. The space-group type is No. 139.

abc: 3.8871 3.8871 7.9263
angles: 90.00 90.00 90.00
Closest atoms and distances in Å follow each position.
Positions (direct):
1 Sc 0.0000 0.0000 0.0000  4 Fe 2.75, 8 Zn 2.78
2 Sc 0.5000 0.5000 0.5000  4 Fe 2.75, 8 Zn 2.78
3 Zn 0.0000 0.5000 0.2500  4 Zn 2.75, 4 Fe 2.78, 4 Sc 2.78
4 Zn 0.0000 0.5000 0.7500  4 Zn 2.75, 4 Fe 2.78, 4 Sc 2.78
5 Zn 0.5000 0.0000 0.2500  4 Zn 2.75, 4 Fe 2.78, 4 Sc 2.78
6 Zn 0.5000 0.0000 0.7500  4 Zn 2.75, 4 Fe 2.78, 4 Sc 2.78
7 Fe 0.0000 0.0000 0.5000  4 Sc 2.75, 8 Zn 2.78
8 Fe 0.5000 0.5000 0.0000  4 Sc 2.75, 8 Zn 2.78

***

17.
The following is a PBE calculation of a relaxed structure of LiMgHg2Os, from Alexandria via LeMat-Bulk.

Values from the calculation:
Its formation energy is 1.01 eV per atom. The space-group type is No. 123.

abc: 4.5012 4.5012 4.4826
angles: 90.00 90.00 90.00
Closest atoms and distances in Å follow each position.
Positions (direct):
1 Li 0.0000 0.0000 0.0000  2 Mg 2.24, 4 Hg 2.25
2 Mg 0.0000 0.0000 0.5000  2 Li 2.24
3 Hg 0.0000 0.5000 0.0000  2 Li 2.25
4 Hg 0.5000 0.0000 0.0000  2 Li 2.25
5 Os 0.5000 0.5000 0.5000  8 Hg 3.18, 4 Mg 3.18